The following is a PBE calculation of an optimized crystal structure of Ti12Zn3Rh, from Alexandria via LeMat-Bulk.

Cell: 4.040 4.040 15.837 Å, 90.00 90.00 90.00°
Fractional coordinates of all 16 atoms:
Ti (0.000, 0.000, 0.000)
Ti (0.000, 0.000, 0.247)
Ti (0.000, 0.000, 0.500)
Ti (0.000, 0.000, 0.753)
Ti (0.000, 0.500, 0.122)
Ti (0.000, 0.500, 0.374)
Ti (0.000, 0.500, 0.626)
Ti (0.000, 0.500, 0.878)
Ti (0.500, 0.000, 0.122)
Ti (0.500, 0.000, 0.374)
Ti (0.500, 0.000, 0.626)
Ti (0.500, 0.000, 0.878)
Zn (0.500, 0.500, 0.249)
Zn (0.500, 0.500, 0.500)
Zn (0.500, 0.500, 0.751)
Rh (0.500, 0.500, 0.000)

## Properties
For the theoretical density, the calculation gives 5610 kg/m³. The energy of formation comes out at -0.142 eV/atom. As for the space-group type: P4/mmm, No. 123.